(1)
PBE-GGA SrSiPb3, relaxed; D(E_F) = 7.3 states/eV per cell
1.0
6.027 0.000 0.000
0.000 6.027 0.000
0.000 0.000 6.027
Sr Si Pb
1 1 3
Cartesian
0.000 0.000 0.000 Sr
3.013 3.013 3.013 Si
0.000 0.000 3.013 Pb
0.000 3.013 0.000 Pb
3.013 0.000 0.000 Pb

(2)
PBE-GGA Nd2Si2Tc2B, relaxed; D(E_F) = 4.2 states/eV per cell
1.0
5.567 -2.056 0.000
5.567 2.056 0.000
-4.355 0.000 5.731
Nd Si Tc B
2 2 2 1
Cartesian
-0.515 0.000 1.769 Nd
7.295 0.000 3.963 Nd
2.631 0.000 1.750 Si
4.148 0.000 3.981 Si
-0.753 0.000 5.214 Tc
7.532 0.000 0.517 Tc
5.567 0.000 0.000 B

(3)
PBE-GGA ZnNiAsPd, relaxed; D(E_F) = 1.6 states/eV per cell; ΔE_f = -185 meV/atom
1.0
0.000 3.055 3.055
3.055 0.000 3.055
3.055 3.055 0.000
Zn Ni As Pd
1 1 1 1
Cartesian
0.000 0.000 0.000 Zn
4.582 4.582 4.582 Ni
3.055 3.055 3.055 As
1.527 1.527 1.527 Pd

(4)
PBE-GGA BeCoW2, relaxed; D(E_F) = 2.0 states/eV per cell; ΔE_f = -17 meV/atom
1.0
2.698 0.000 0.000
0.000 2.698 0.000
0.000 0.000 6.936
Be Co W
1 1 2
Cartesian
0.000 0.000 0.000 Be
1.349 1.349 1.165 Co
0.000 0.000 2.898 W
1.349 1.349 5.210 W

(5)
PBE-GGA LiThZnOs, relaxed; D(E_F) = 3.0 states/eV per cell; ΔE_f = -30 meV/atom
1.0
0.000 3.344 3.344
3.344 0.000 3.344
3.344 3.344 0.000
Li Th Zn Os
1 1 1 1
Cartesian
0.000 0.000 0.000 Li
1.672 1.672 1.672 Th
5.016 5.016 5.016 Zn
3.344 3.344 3.344 Os

(6)
PBE-GGA LaTl2CuRe, relaxed; D(E_F) = 3.8 states/eV per cell; ΔE_f = 1670 meV/atom
1.0
6.251 0.000 0.000
0.000 6.251 0.000
0.000 0.000 4.837
La Tl Cu Re
1 2 1 1
Cartesian
0.000 0.000 0.000 La
0.000 3.126 0.000 Tl
3.126 0.000 0.000 Tl
3.126 3.126 2.418 Cu
0.000 0.000 2.418 Re

(7)
# K2YReO6

Crystalline K2YReO6 at its relaxed geometry (PBE-GGA, Alexandria).

```
K2YReO6
1.0
0.000 4.175 4.175
4.175 0.000 4.175
4.175 4.175 0.000
K Y Re O
2 1 1 6
Cartesian
2.087 2.087 2.087 K
6.262 6.262 6.262 K
0.000 0.000 0.000 Y
4.175 4.175 4.175 Re
4.175 4.175 2.271 O
4.175 2.271 4.175 O
6.078 4.175 4.175 O
2.271 4.175 4.175 O
4.175 6.078 4.175 O
4.175 4.175 6.078 O
```

(8)
PBE-GGA MnGa2Fe, relaxed; D(E_F) = 2.9 states/eV per cell; ΔE_f = 3 meV/atom
1.0
1.367 0.789 8.259
-1.367 0.789 8.259
0.000 -1.579 8.259
Mn Ga Fe
1 2 1
Cartesian
0.000 0.000 0.000 Mn
0.000 0.000 6.189 Ga
0.000 0.000 18.588 Ga
0.000 0.000 12.389 Fe

(9)
PBE-GGA AlV6Ga5, relaxed; D(E_F) = 5.4 states/eV per cell; ΔE_f = 120 meV/atom
1.0
3.386 -4.012 0.000
3.386 4.012 0.000
-0.767 0.000 6.698
Al V Ga
1 6 5
Cartesian
0.000 0.000 0.000 Al
1.510 1.345 1.675 V
1.135 0.000 5.011 V
1.510 -1.345 1.675 V
4.496 1.345 5.023 V
4.872 0.000 1.687 V
4.496 -1.345 5.023 V
3.003 2.676 3.349 Ga
3.386 1.341 0.000 Ga
3.003 0.000 3.349 Ga
3.386 -1.341 0.000 Ga
3.003 -2.676 3.349 Ga

(10)
PBE-GGA Cs3Ag5Te12, relaxed; D(E_F) = 35.6 states/eV per cell
1.0
-9.477 9.477 9.477
9.477 -9.477 9.477
9.477 9.477 -9.477
Cs Ag Te
12 20 48
Cartesian
4.738 2.369 0.000 Cs
9.477 4.738 -2.369 Cs
2.369 0.000 4.738 Cs
11.846 0.000 4.738 Cs
0.000 4.738 2.369 Cs
4.738 -2.369 9.477 Cs
4.738 11.846 0.000 Cs
9.477 4.738 7.108 Cs
-2.369 9.477 4.738 Cs
7.108 9.477 4.738 Cs
0.000 4.738 11.846 Cs
4.738 7.108 9.477 Cs
0.000 0.000 0.000 Ag
4.738 4.738 -4.738 Ag
4.738 -4.738 4.738 Ag
9.477 0.000 0.000 Ag
14.215 2.369 0.000 Ag
9.477 -4.738 7.108 Ag
7.108 9.477 -4.738 Ag
7.108 0.000 4.738 Ag
4.738 7.108 0.000 Ag
9.477 4.738 2.369 Ag
-4.738 4.738 4.738 Ag
0.000 9.477 0.000 Ag
0.000 0.000 9.477 Ag
4.738 4.738 4.738 Ag
0.000 4.738 7.108 Ag
4.738 2.369 9.477 Ag
2.369 9.477 4.738 Ag
2.369 0.000 14.215 Ag
0.000 14.215 2.369 Ag
-4.738 7.108 9.477 Ag
7.026 -5.815 6.368 Te
16.666 1.630 -1.076 Te
13.139 3.109 -2.451 Te
10.553 -7.189 7.847 Te
6.368 7.026 -5.815 Te
7.847 -1.076 2.287 Te
11.764 1.630 1.076 Te
11.928 -3.662 6.368 Te
7.847 10.553 -7.189 Te
6.368 -2.451 5.815 Te
5.815 6.368 -2.451 Te
8.401 2.287 1.630 Te
8.401 -2.287 7.847 Te
15.292 3.109 2.451 Te
7.847 8.401 -2.287 Te
6.368 2.451 3.662 Te
2.287 7.847 -1.076 Te
11.928 3.662 3.109 Te
6.368 11.928 -3.662 Te
7.847 1.076 7.189 Te
3.662 6.368 2.451 Te
10.553 7.189 1.630 Te
7.189 7.847 1.076 Te
7.026 5.815 3.109 Te
2.451 3.662 6.368 Te
2.287 1.630 8.401 Te
-1.076 2.287 7.847 Te
5.815 3.109 7.026 Te
1.630 8.401 2.287 Te
3.109 -2.451 13.139 Te
-2.451 5.815 6.368 Te
7.189 1.630 10.553 Te
3.109 7.026 5.815 Te
1.630 1.076 11.764 Te
-5.815 6.368 7.026 Te
1.076 11.764 1.630 Te
1.076 7.189 7.847 Te
3.662 3.109 11.928 Te
3.109 11.928 3.662 Te
1.630 -1.076 16.666 Te
-2.451 13.139 3.109 Te
-2.287 7.847 8.401 Te
1.630 10.553 7.189 Te
3.109 2.451 15.292 Te
-1.076 16.666 1.630 Te
-3.662 6.368 11.928 Te
-7.189 7.847 10.553 Te
2.451 15.292 3.109 Te

(11)
PBE-GGA Ti3PtC, relaxed; D(E_F) = 9.0 states/eV per cell; ΔE_f = -681 meV/atom
1.0
5.126 -1.563 0.000
5.126 1.563 0.000
-1.700 0.000 9.127
Ti Pt C
6 2 2
Cartesian
0.000 0.000 0.000 Ti
2.137 0.000 3.519 Ti
1.589 0.000 7.515 Ti
4.866 0.000 2.409 Ti
7.519 0.000 0.961 Ti
9.059 0.000 5.331 Ti
4.561 0.000 7.342 Pt
6.237 0.000 5.195 Pt
1.027 0.000 1.796 C
3.799 0.000 0.513 C

(12)
PBE-GGA CaCr2W, relaxed; D(E_F) = 3.3 states/eV per cell; ΔE_f = 1008 meV/atom
1.0
3.201 0.000 0.000
0.000 4.382 0.000
0.000 0.000 4.881
Ca Cr W
1 2 1
Cartesian
0.000 0.000 0.000 Ca
0.000 2.191 2.441 Cr
1.601 2.191 0.000 Cr
1.601 0.000 2.441 W

Number 1: energy -2.44 eV per atom, calculated density 5.59 Mg/m³. Number 2: energy -7.42 eV per atom, calculated density 6.98 Mg/m³. Number 3: energy -4.41 eV per atom, calculated density 8.90 Mg/m³. Number 4: energy -9.20 eV per atom, calculated density 14.33 Mg/m³. Number 5: energy -5.49 eV per atom, calculated density 10.98 Mg/m³. Number 6: energy -3.57 eV per atom, calculated density 7.01 Mg/m³. Number 7: energy -7.31 eV per atom, calculated density 5.13 Mg/m³. Number 8: energy -5.92 eV per atom, calculated density 7.77 Mg/m³. Number 9: energy -6.01 eV per atom, calculated density 6.22 Mg/m³. Number 10: energy -2.88 eV per atom, calculated density 4.82 Mg/m³. Number 11: energy -8.47 eV per atom, calculated density 7.96 Mg/m³. Number 12: energy -7.54 eV per atom, calculated density 7.95 Mg/m³.